[1]
Compound: NdAgWO5
Source: the Alexandria database
Functional: GGA+U
Structure: optimized geometry

Values from the calculation:
The value obtained for the volume is 641.4 Å³ per cell. The value obtained for the total energy is -6.9526 eV/atom.

Cell lengths 9.0046, 9.2865, 8.8023 Å; angles 90.00, 119.39, 90.00 degrees
Space group C2/c (No. 15)
Unique sites:
1 Nd 0.0000 0.0000 0.0000 [4 per cell]
2 Ag 0.0000 0.2981 0.2500 [4 per cell]
3 W 0.0000 0.3655 0.7500 [4 per cell]
4 O 0.0000 0.0704 0.2500 [4 per cell]
5 O 0.0012 0.2514 0.5841 [8 per cell]
6 O 0.1889 0.4807 0.8464 [8 per cell]



[2]
Compound: NdAgW2O8
Source: the Alexandria database
Functional: GGA+U
Structure: optimized geometry

Values from the calculation:
The value obtained for the volume is 673.2 Å³ per cell. The value obtained for the total energy is -7.2557 eV/atom.

Cell lengths 10.3140, 11.1293, 7.4234 Å; angles 90.00, 127.81, 90.00 degrees
Space group C2/m (No. 12)
Unique sites:
1 Nd 0.0000 0.2006 0.0000 [4 per cell]
2 Ag 0.1926 0.0000 0.5181 [4 per cell]
3 W 0.0000 0.3400 0.5000 [4 per cell]
4 W 0.2142 0.5000 0.9730 [4 per cell]
5 O 0.0195 0.5000 0.3402 [4 per cell]
6 O 0.0504 0.2404 0.3585 [8 per cell]
7 O 0.0558 0.0000 0.8570 [4 per cell]
8 O 0.1760 0.3742 0.0921 [8 per cell]
9 O 0.2245 0.3773 0.7598 [8 per cell]



Q: What is the formula in the first record?
A: NdAgWO5



Q: What is the volume in the second record?
A: 673.2 Å³ per cell